[1]
VASP calculation (PBE) on an optimized crystal structure of Al3SiPd.

Properties
M_tot: 0.00 Bohr magnetons per cell
crystal system: cubic
calculated total energy: -20.57 eV/f.u.
relative energy among the computed polymorphs: 0.000 eV per atom

a = 4.6994 Å, b = 4.6994 Å, c = 4.6994 Å
α = 90.00°, β = 90.00°, γ = 90.00°
With the nearest neighbours (Å) after each atom.
Space group Pm-3m (No. 221)
Asymmetric unit:
Al (0.0000, 0.0000, 0.5000) x3  2 Pd 2.35
Si (0.5000, 0.5000, 0.5000) x1  12 Al 3.32
Pd (0.0000, 0.0000, 0.0000) x1  6 Al 2.35

---

[2]
VASP calculation (PBE) on an optimized crystal structure of ZnRe2Ni.

Properties
ΔH_f (0 K): 0.78 eV/f.u.
M_tot: 0.02 Bohr magnetons per cell
crystal system: cubic
calculated total energy: -31.18 eV/f.u.

a = 6.0559 Å, b = 6.0559 Å, c = 6.0559 Å
α = 90.00°, β = 90.00°, γ = 90.00°
With the nearest neighbours (Å) after each atom.
Space group F-43m (No. 216)
Asymmetric unit:
Zn (0.0000, 0.0000, 0.0000) x4  4 Re 2.62, 4 Ni 2.62
Re (0.0000, 0.0000, 0.5000) x4  4 Ni 2.62, 4 Re 2.62
Re (0.2500, 0.2500, 0.7500) x4  4 Re 2.62, 4 Zn 2.62
Ni (0.2500, 0.2500, 0.2500) x4  4 Re 2.62, 4 Zn 2.62

---

[3]
VASP calculation (PBE) on an optimized crystal structure of CaCd2Ag.

Properties
ΔH_f (0 K): -0.17 eV/f.u.
M_tot: 0.00 Bohr magnetons per cell
crystal system: orthorhombic
calculated total energy: -6.85 eV/f.u.

a = 4.1322 Å, b = 4.3154 Å, c = 12.4254 Å
α = 90.00°, β = 90.00°, γ = 90.00°
With the nearest neighbours (Å) after each atom.
Space group Immm (No. 71)
Asymmetric unit:
Ca (0.0000, 0.0000, 0.0000) x2  4 Ag 2.99
Cd (0.0000, 0.0000, 0.2788) x4  1 Ag 2.75, 4 Cd 3.07
Ag (0.0000, 0.0000, 0.5000) x2  2 Cd 2.75, 4 Ca 2.99

---

[4]
VASP calculation (PBE) on an optimized crystal structure of SrCr4Os.

Properties
ΔH_f (0 K): 4.68 eV/f.u.
M_tot: 0.00 Bohr magnetons per cell
crystal system: cubic
calculated total energy: -46.73 eV/f.u.

a = 7.0943 Å, b = 7.0943 Å, c = 7.0943 Å
α = 90.00°, β = 90.00°, γ = 90.00°
With the nearest neighbours (Å) after each atom.
Space group F-43m (No. 216)
Asymmetric unit:
Sr (0.0000, 0.0000, 0.0000) x4  12 Cr 2.94, 4 Os 3.07
Cr (0.1238, 0.1238, 0.6238) x16  6 Cr 2.48-2.53
Os (0.2500, 0.2500, 0.2500) x4  12 Cr 2.94, 4 Sr 3.07